## SiTc3Au (GGA-PBE)

Data for an optimized crystal structure of SiTc3Au.

Summary:
* formation energy (no corrections): 4.481 eV/f.u.
* energy relative to the lowest polymorph listed for this composition: 0 meV per atom

a b c (Å): 4.3982 4.3982 4.3982
angles (deg): 90.00 90.00 90.00
Space group Pm-3m (No. 221)
Unique sites:
Si 0.0000 0.0000 0.0000 x1
Tc 0.0000 0.0000 0.5000 x3
Au 0.5000 0.5000 0.5000 x1